[1]
The following is a PBE calculation of a relaxed structure of KRbBa2In, from Alexandria via LeMat-Bulk.

Values from the calculation:
Calculated density ... 2.5 g/cm3
Space group ... P4/mmm
Formation enthalpy at 0 K ... 1 meV/atom

a = 6.862 Å, b = 6.862 Å, c = 7.183 Å
α = 90.00°, β = 90.00°, γ = 90.00°
Positions (direct):
K1 0.000 0.000 0.500
Ba1 0.000 0.500 0.000
Ba2 0.500 0.000 0.000
Rb1 0.500 0.500 0.500
In1 0.000 0.000 0.000

[2]
The following is a PBE calculation of a relaxed structure of SrHg3Ru, from Alexandria via LeMat-Bulk.

Values from the calculation:
E above lowest polymorph ... 0 kJ/mol of formula units
Calculated density ... 9.1 g/cm3
Space group ... Pm-3m
Formation enthalpy at 0 K ... 30 meV/atom

a = 5.252 Å, b = 5.252 Å, c = 5.252 Å
α = 90.00°, β = 90.00°, γ = 90.00°
Positions (direct):
Ru1 0.000 0.000 0.000
Hg1 0.000 0.500 0.000
Hg2 0.000 0.000 0.500
Hg3 0.500 0.000 0.000
Sr1 0.500 0.500 0.500

What is the formation enthalpy at 0 K in the second record? 30 meV/atom